Below is an optimized crystal structure of Pr2NiAu, with properties calculated at the PBE-GGA level.

Results
As for the total energy: -5.114 eV/atom.

a = 3.6245 Å, b = 3.6245 Å, c = 7.3470 Å
α = 90.00°, β = 90.00°, γ = 90.00°
Last column: nearest neighbours and their distance in Å.
Space group P4/mmm (No. 123)
Unique sites:
Pr 0.0000 0.0000 0.2340  4 Ni 3.09, 4 Au 3.22, 1 Pr 3.44
Ni 0.5000 0.5000 0.0000  8 Pr 3.09
Au 0.5000 0.5000 0.5000  8 Pr 3.22